RbGdPd (PBE, relaxed); M_tot = 0.0006 μB per atom; SG = F-43m; calculated total energy = -3.40 eV per atom
1.0
-4.9773 -1.3327 0.1405
-3.5466 3.0490 -2.1667
-2.3915 -1.4916 -4.3157
Gd Pd Rb
1 1 1
Direct
0.5000 0.5000 0.5000
0.2500 0.2500 0.2500
0.0000 0.0000 0.0000